A plane-wave DFT calculation with PBE was carried out for a geometry-optimized CrRe2Pt structure.

Values from the calculation:
E   -9.578 eV per atom
Density of states at the Fermi level   4.1 states/eV/f.u.
Formation energy from the elements   2.25 eV/f.u.
Distance to the lowest polymorph of the same formula   0.618 eV/atom

```
8
Lattice="-1.8701 1.8701 9.2573 1.8701 -1.8701 9.2573 1.8701 1.8701 -9.2573" Properties=species:S:1:pos:R:3 pbc="T T T"
Cr 0.0000 0.0000 0.0000
Cr 0.0000 1.8701 4.6286
Re 2.8052 0.8222 -2.3143
Re 0.8222 0.9351 2.3143
Re -0.9351 1.0480 6.9430
Re 1.0480 0.9351 11.5716
Pt 1.8701 0.0000 4.6286
Pt 0.0000 0.0000 9.2573
```

A plane-wave DFT calculation with PBE was carried out for a geometry-optimized Cr2RePt structure.

Values from the calculation:
E   -9.449 eV per atom
Density of states at the Fermi level   4.8 states/eV/f.u.
Formation energy from the elements   -0.06 eV/f.u.

```
4
Lattice="0.0000 2.7097 3.6908 2.7056 0.0000 3.6908 2.7056 2.7097 0.0000" Properties=species:S:1:pos:R:3 pbc="T T T"
Cr 1.3528 1.3548 1.8454
Cr 4.0583 4.0645 5.5361
Re 0.0000 0.0000 0.0000
Pt 2.7056 2.7097 3.6908
```

A plane-wave DFT calculation with PBE was carried out for a geometry-optimized CrRe2Pt structure.

Values from the calculation:
E   -10.115 eV per atom
Density of states at the Fermi level   3.0 states/eV/f.u.
Formation energy from the elements   0.10 eV/f.u.
Distance to the lowest polymorph of the same formula   0.081 eV/atom

```
4
Lattice="2.7188 0.0000 0.0000 0.0000 2.7188 0.0000 0.0000 0.0000 7.7330" Properties=species:S:1:pos:R:3 pbc="T T T"
Cr 0.0000 0.0000 0.0000
Re 1.3594 1.3594 1.7813
Re 1.3594 1.3594 5.9517
Pt 0.0000 0.0000 3.8665
```

A plane-wave DFT calculation with PBE was carried out for a geometry-optimized CrRe2Pt structure.

Values from the calculation:
E   -10.112 eV per atom
Density of states at the Fermi level   4.7 states/eV/f.u.
Formation energy from the elements   0.11 eV/f.u.
Distance to the lowest polymorph of the same formula   0.084 eV/atom

```
4
Lattice="4.5429 -1.3613 0.0000 4.5429 1.3613 0.0000 -0.8534 0.0000 4.6575" Properties=species:S:1:pos:R:3 pbc="T T T"
Cr 0.0000 0.0000 0.0000
Re 1.6608 0.0000 3.5398
Re 6.5716 0.0000 1.1178
Pt 4.1162 0.0000 2.3288
```

A plane-wave DFT calculation with PBE was carried out for a geometry-optimized CrRePt4 structure.

Values from the calculation:
E   -7.337 eV per atom
Density of states at the Fermi level   5.3 states/eV/f.u.
Formation energy from the elements   2.21 eV/f.u.

```
6
Lattice="0.0000 3.6696 3.6696 3.6696 0.0000 3.6696 3.6696 3.6696 0.0000" Properties=species:S:1:pos:R:3 pbc="T T T"
Cr 0.0000 0.0000 0.0000
Re 5.5044 5.5044 5.5044
Pt 2.7537 2.7537 2.7537
Pt 4.5855 4.5855 2.7537
Pt 4.5855 2.7537 4.5855
Pt 2.7537 4.5855 4.5855
```

A plane-wave DFT calculation with PBE was carried out for a geometry-optimized CrRe4Pt structure.

Values from the calculation:
E   -10.486 eV per atom
Density of states at the Fermi level   4.5 states/eV/f.u.
Formation energy from the elements   2.54 eV/f.u.

```
6
Lattice="0.0000 3.6278 3.6278 3.6278 0.0000 3.6278 3.6278 3.6278 0.0000" Properties=species:S:1:pos:R:3 pbc="T T T"
Cr 0.0000 0.0000 0.0000
Re 4.5308 2.7248 2.7248
Re 2.7248 4.5308 2.7248
Re 2.7248 2.7248 4.5308
Re 4.5308 4.5308 4.5308
Pt 1.8139 1.8139 1.8139
```

A plane-wave DFT calculation with PBE was carried out for a geometry-optimized CrRePt2 structure.

Values from the calculation:
E   -8.279 eV per atom
Density of states at the Fermi level   7.5 states/eV/f.u.
Formation energy from the elements   1.04 eV/f.u.
Distance to the lowest polymorph of the same formula   0.368 eV/atom

```
4
Lattice="0.0000 3.1326 3.1326 3.1326 0.0000 3.1326 3.1326 3.1326 0.0000" Properties=species:S:1:pos:R:3 pbc="T T T"
Cr 0.0000 0.0000 0.0000
Re 3.1326 3.1326 3.1326
Pt 1.5663 1.5663 1.5663
Pt 4.6989 4.6989 4.6989
```

A plane-wave DFT calculation with PBE was carried out for a geometry-optimized Cr2RePt structure.

Values from the calculation:
E   -9.365 eV per atom
Density of states at the Fermi level   3.8 states/eV/f.u.
Formation energy from the elements   0.28 eV/f.u.

```
4
Lattice="4.3913 -1.3314 0.0000 4.3913 1.3314 0.0000 -0.7891 0.0000 4.6696" Properties=species:S:1:pos:R:3 pbc="T T T"
Cr 2.0022 0.0000 1.1533
Cr 5.9912 0.0000 3.5163
Re 4.3913 0.0000 0.0000
Pt -0.3946 0.0000 2.3348
```

A plane-wave DFT calculation with PBE was carried out for a geometry-optimized Cr2RePt structure.

Values from the calculation:
E   -9.427 eV per atom
Density of states at the Fermi level   4.3 states/eV/f.u.
Formation energy from the elements   0.03 eV/f.u.

```
4
Lattice="2.7072 -3.7550 0.0000 2.7072 3.7550 0.0000 0.0000 0.0000 2.6670" Properties=species:S:1:pos:R:3 pbc="T T T"
Cr 1.3536 1.8775 0.0000
Cr 1.3536 -1.8775 0.0000
Re 0.0000 0.0000 1.3335
Pt 2.7072 0.0000 1.3335
```

A plane-wave DFT calculation with PBE was carried out for a geometry-optimized CrRePt2 structure.

Values from the calculation:
E   -8.609 eV per atom
Density of states at the Fermi level   4.7 states/eV/f.u.
Formation energy from the elements   -0.28 eV/f.u.
Distance to the lowest polymorph of the same formula   0.037 eV/atom

```
4
Lattice="-1.9505 1.9539 3.8191 1.9505 -1.9539 3.8191 1.9505 1.9539 -3.8191" Properties=species:S:1:pos:R:3 pbc="T T T"
Cr 0.0000 0.0000 0.0000
Re 0.0000 1.9539 1.9186
Pt 1.9505 0.0000 1.9123
Pt 0.0000 0.0000 3.8236
```

A plane-wave DFT calculation with PBE was carried out for a geometry-optimized CrRePt3 structure.

Values from the calculation:
E   -6.357 eV per atom
Density of states at the Fermi level   9.9 states/eV/f.u.
Formation energy from the elements   8.41 eV/f.u.
Distance to the lowest polymorph of the same formula   0.182 eV/atom

```
5
Lattice="4.7957 0.0000 0.0000 0.0000 4.7957 0.0000 0.0000 0.0000 4.7957" Properties=species:S:1:pos:R:3 pbc="T T T"
Cr 0.0000 0.0000 0.0000
Re 2.3979 2.3979 2.3979
Pt 0.0000 2.3979 2.3979
Pt 2.3979 0.0000 2.3979
Pt 2.3979 2.3979 0.0000
```

A plane-wave DFT calculation with PBE was carried out for a geometry-optimized CrRePt2Se structure.

Values from the calculation:
E   -6.146 eV per atom
Density of states at the Fermi level   6.8 states/eV/f.u.
Formation energy (no corrections)   1.381 eV per atom

```
5
Lattice="4.6569 0.0000 0.0000 0.0000 4.6569 0.0000 0.0000 0.0000 4.3113" Properties=species:S:1:pos:R:3 pbc="T T T"
Cr 0.0000 0.0000 0.0000
Re 2.3284 2.3284 0.0000
Pt 0.0000 2.3284 2.1557
Pt 2.3284 0.0000 2.1557
Se 0.0000 0.0000 2.1557
```

Q: Number 8 is which compound?
A: Cr2RePt

Q: Among the records above, which one has the highest density of states at the Fermi level?
A: CrRePt3

Q: Which formula does entry 3 have?
A: CrRe2Pt

Q: Which of these has the lowest E?
A: CrRe4Pt